1.
The following is a GGA+U calculation of Mn2CoGeO6 after structural relaxation, from Alexandria.

Symmetry: P1 (1)
Magnetic moment (μB per formula unit): 11.00
Fermi-level density of states (states/eV per atom): 0.006
Calculated volume (Å³/cell): 105

Cell lengths 5.090, 5.118, 5.409 Å; angles 64.90, 62.72, 60.49 degrees
Sites, in units of the cell vectors:
Mn: 0.000 0.000 0.000
Mn: 0.495 0.497 0.517
Co: 0.212 0.214 0.377
Ge: 0.691 0.700 0.913
O: 0.072 0.783 0.726
O: 0.312 0.609 0.214
O: 0.407 0.063 0.734
O: 0.618 0.907 0.186
O: 0.782 0.431 0.710
O: 0.888 0.310 0.200

=====

2.
The following is a GGA+U calculation of MnCo2GeO6 after structural relaxation, from Alexandria.

Symmetry: P1 (1)
Magnetic moment (μB per formula unit): 7.00
Calculated volume (Å³/cell): 99

Cell lengths 4.952, 4.982, 5.334 Å; angles 63.31, 89.74, 61.40 degrees
Sites, in units of the cell vectors:
Mn: 0.000 0.000 0.000
Co: 0.194 0.602 0.591
Co: 0.715 0.554 0.147
Ge: 0.510 0.974 0.532
O: 0.135 0.059 0.325
O: 0.288 0.118 0.798
O: 0.413 0.439 0.342
O: 0.575 0.516 0.791
O: 0.799 0.799 0.322
O: 0.911 0.787 0.802

=====

Short version: total energy = -69.1; -65.2 eV/cell, in the order given.